Compound: Sr2AlAu2
Source: the Alexandria database
Functional: PBE
Structure: optimized geometry

The size of the total moment is 0.0 μB/f.u. The calculation puts the density of states at the Fermi level at 0.572 states/eV/atom. The formation energy from the elements comes out at -3.33 eV/f.u.

The space group is C2/m (No. 12) and the conventional cell measures 12.118, 4.454 and 11.550 Å, with angles of 90.00, 119.10 and 90.00 degrees. The distinct sites, in fractional coordinates, are Sr at (0.006, 0.000, 0.167), Sr at (0.184, 0.000, 0.608), Al at (0.218, 0.500, 0.870), Au at (0.004, 0.500, 0.370) and Au at (0.157, 0.500, 0.068).

Compound: SrAl2Au
Source: the Alexandria database
Functional: PBE
Structure: optimized geometry

The size of the total moment is 0.0 μB/f.u. The calculation puts the density of states at the Fermi level at 0.527 states/eV/atom. The formation energy from the elements comes out at 0.01 eV/f.u.

The space group is C2/m (No. 12) and the conventional cell measures 5.956, 11.361 and 3.802 Å, with angles of 90.00, 128.51 and 90.00 degrees. The distinct sites, in fractional coordinates, are Sr at (0.000, 0.000, 0.000), Al at (0.250, 0.250, 0.500) and Au at (0.000, 0.500, 0.000).

Compound: SrAl2Au
Source: the Alexandria database
Functional: PBE
Structure: optimized geometry

The size of the total moment is 0.0 μB/f.u. The calculation puts the density of states at the Fermi level at 0.291 states/eV/atom. The formation energy from the elements comes out at -1.88 eV/f.u.

The space group is Cm (No. 8) and the conventional cell measures 7.660, 4.422 and 6.390 Å, with angles of 90.00, 113.47 and 90.00 degrees. The distinct sites, in fractional coordinates, are Sr at (0.000, 0.000, 0.000), Al at (0.203, 0.000, 0.609), Al at (0.464, 0.000, 0.391) and Au at (0.312, 0.500, 0.436).

Compound: SrAl2Au6
Source: the Alexandria database
Functional: PBE
Structure: optimized geometry

For the energy above the most stable polymorph in this dataset, the calculation gives 152 meV/atom. The size of the total moment is 0.0 μB/f.u. The calculation puts the density of states at the Fermi level at 0.399 states/eV/atom. The formation energy from the elements comes out at -2.06 eV/f.u.

The space group is Fd-3m (No. 227, origin choice 2) and the conventional cell measures 12.001, 12.001 and 12.001 Å, with angles of 90.00, 90.00 and 90.00 degrees. The distinct sites, in fractional coordinates, are Sr at (0.125, 0.125, 0.125), Al at (0.000, 0.000, 0.500) and Au at (0.112, 0.375, 0.875).

Compound: Sr2AlAu2
Source: the Alexandria database
Functional: PBE
Structure: optimized geometry

The size of the total moment is 0.0 μB/f.u. The calculation puts the density of states at the Fermi level at 0.625 states/eV/atom. The formation energy from the elements comes out at -3.06 eV/f.u.

The space group is Ibam (No. 72) and the conventional cell measures 7.276, 12.580 and 6.463 Å, with angles of 90.00, 90.00 and 90.00 degrees. The distinct sites, in fractional coordinates, are Sr at (0.164, 0.148, 0.000), Al at (0.000, 0.500, 0.250) and Au at (0.217, 0.398, 0.000).

Compound: SrAl2Au
Source: the Alexandria database
Functional: PBE
Structure: optimized geometry

The size of the total moment is 0.0 μB/f.u. The calculation puts the density of states at the Fermi level at 0.504 states/eV/atom. The formation energy from the elements comes out at -0.45 eV/f.u.

The space group is Fm-3m (No. 225) and the conventional cell measures 6.981, 6.981 and 6.981 Å, with angles of 90.00, 90.00 and 90.00 degrees. The distinct sites, in fractional coordinates, are Sr at (0.000, 0.000, 0.000), Al at (0.250, 0.250, 0.250) and Au at (0.000, 0.000, 0.500).